Entry 1:
## ScB2W (PBE)

Data for ScB2W after structural relaxation.

E_form: 0.593 eV/atom
N(E_F): 0.6296 states/eV/atom
Mass density: 6.3 g/cm³
Symmetry: I-42d (122)

abc: 5.1134 5.1134 6.2325
angles: 65.78 65.78 90.00
Last column: nearest neighbours and their distance in Å.
Atoms (fractional coordinates):
1 Sc 0.5000 0.5000 0.0000  4 B 2.37
2 Sc 0.2500 0.7500 0.5000  4 B 2.37
3 B 0.6759 0.1250 0.2500  2 W 2.07
4 B 0.0741 0.6250 0.2500  2 W 2.07
5 B 0.3750 0.3241 0.7500  2 W 2.07
6 B 0.8750 0.9259 0.7500  2 W 2.07
7 W 0.0000 0.0000 0.0000  4 B 2.07
8 W 0.7500 0.2500 0.5000  4 B 2.07

---

Entry 2:
## ScB4W (PBE)

Data for ScB4W after structural relaxation.

E_form: -0.649 eV/atom
N(E_F): 0.2838 states/eV/atom
Mass density: 8.2 g/cm³
Symmetry: Immm (71)

abc: 3.0972 4.5363 4.5363
angles: 71.76 70.04 70.04
Last column: nearest neighbours and their distance in Å.
Atoms (fractional coordinates):
1 Sc 0.5000 0.5000 0.5000  12 B 2.43-2.45
2 B 0.7517 0.5834 0.9131  3 B 1.75-1.79
3 B 0.7517 0.9131 0.5834  3 B 1.75-1.79
4 B 0.2482 0.4166 0.0869  3 B 1.75-1.79
5 B 0.2482 0.0869 0.4166  3 B 1.75-1.79
6 W 0.0000 0.0000 0.0000  12 B 2.43-2.45

---

Entry 3:
## ScB2W (PBE)

Data for ScB2W after structural relaxation.

E_form: 0.354 eV/atom
N(E_F): 0.7605 states/eV/atom
Mass density: 8.8 g/cm³
Symmetry: Fm-3m (225)

abc: 4.0581 4.0581 4.0581
angles: 60.00 60.00 60.00
Last column: nearest neighbours and their distance in Å.
Atoms (fractional coordinates):
1 Sc 0.0000 0.0000 0.0000  8 B 2.49
2 B 0.2500 0.2500 0.2500  4 W 2.49, 4 Sc 2.49
3 B 0.7500 0.7500 0.7500  4 W 2.49, 4 Sc 2.49
4 W 0.5000 0.5000 0.5000  8 B 2.49

---

Entry 4:
## Sc2B2W (PBE)

Data for Sc2B2W after structural relaxation.

E_form: -0.152 eV/atom
N(E_F): 0.7418 states/eV/atom
Mass density: 7.1 g/cm³
Symmetry: P4/mbm (127)

abc: 6.3137 6.3137 3.4653
angles: 90.00 90.00 90.00
Last column: nearest neighbours and their distance in Å.
Atoms (fractional coordinates):
1 Sc 0.1574 0.6574 0.5000  6 B 2.39-2.64
2 Sc 0.6574 0.8426 0.5000  6 B 2.39-2.64
3 Sc 0.8426 0.3426 0.5000  6 B 2.39-2.64
4 Sc 0.3426 0.1574 0.5000  6 B 2.39-2.64
5 B 0.3418 0.8418 0.0000  2 W 2.38, 6 Sc 2.39-2.64
6 B 0.8418 0.6582 0.0000  2 W 2.38, 6 Sc 2.39-2.64
7 B 0.6582 0.1582 0.0000  2 W 2.38, 6 Sc 2.39-2.64
8 B 0.1582 0.3418 0.0000  2 W 2.38, 6 Sc 2.39-2.64
9 W 0.0000 0.0000 0.0000  4 B 2.38
10 W 0.5000 0.5000 0.0000  4 B 2.38

---

Q: Which raw total energy values were calculated for the entries above? A: -60.53, -49.89, -31.23, -79.46, in eV for the cell shown.